Record 1
The following is a DFT calculation (PBE-GGA) of crystalline CsGePt3 at its relaxed geometry.

Cell: 4.9042 4.9042 4.9042 Å, 90.00 90.00 90.00°
Atoms (fractional coordinates):
1 Cs 0.0000 0.0000 0.0000
2 Ge 0.5000 0.5000 0.5000
3 Pt 0.0000 0.5000 0.5000
4 Pt 0.5000 0.0000 0.5000
5 Pt 0.5000 0.5000 0.0000

Computed properties:
Total moment: 0.0 μB/cell
Offset from the most stable computed form: 0.5458 eV/atom

***

Record 2
The following is a DFT calculation (PBE-GGA) of crystalline CsGePt3 at its relaxed geometry.

Cell: 6.6555 5.4633 7.7678 Å, 90.00 96.30 90.00°
Atoms (fractional coordinates):
1 Cs 0.2325 0.2500 0.3925
2 Cs 0.7675 0.7500 0.6075
3 Ge 0.4111 0.7500 0.1064
4 Ge 0.5889 0.2500 0.8936
5 Pt 0.0301 0.7500 0.0373
6 Pt 0.2809 0.0023 0.8478
7 Pt 0.2809 0.4977 0.8478
8 Pt 0.7191 0.5023 0.1522
9 Pt 0.7191 0.9977 0.1522
10 Pt 0.9699 0.2500 0.9627

Computed properties:
Total moment: 0.0 μB/cell
Offset from the most stable computed form: 0.0000 eV/atom

***

Record 3
The following is a DFT calculation (PBE-GGA) of crystalline Cs4GePt5 at its relaxed geometry.

Cell: 8.6253 8.6253 8.6253 Å, 96.91 96.91 139.42°
Atoms (fractional coordinates):
1 Cs 0.1085 0.7172 0.8257
2 Cs 0.2828 0.1085 0.3913
3 Cs 0.7172 0.8915 0.6087
4 Cs 0.8915 0.2828 0.1743
5 Ge 0.7630 0.7630 0.0000
6 Pt 0.1509 0.1509 0.0000
7 Pt 0.3303 0.5019 0.8370
8 Pt 0.4933 0.3303 0.8284
9 Pt 0.5019 0.6649 0.1716
10 Pt 0.6649 0.4933 0.1630

Computed properties:
Total moment: 0.0 μB/cell

***

Record 4
The following is a DFT calculation (PBE-GGA) of crystalline CsGe3Pt at its relaxed geometry.

Cell: 5.1471 5.1471 5.1471 Å, 90.00 90.00 90.00°
Atoms (fractional coordinates):
1 Cs 0.0000 0.0000 0.0000
2 Ge 0.0000 0.5000 0.5000
3 Ge 0.5000 0.0000 0.5000
4 Ge 0.5000 0.5000 0.0000
5 Pt 0.5000 0.5000 0.5000

Computed properties:
Total moment: 0.9 μB/cell
Offset from the most stable computed form: 0.5798 eV/atom

***

Record 5
The following is a DFT calculation (PBE-GGA) of crystalline CsGe4Pt4 at its relaxed geometry.

Cell: 6.7593 6.7593 6.7593 Å, 97.13 97.13 138.74°
Atoms (fractional coordinates):
1 Cs 0.0000 0.0000 0.0000
2 Ge 0.1291 0.6100 0.7391
3 Ge 0.3900 0.1291 0.5191
4 Ge 0.6100 0.8709 0.4809
5 Ge 0.8709 0.3900 0.2609
6 Pt 0.1841 0.3340 0.5181
7 Pt 0.3340 0.8159 0.1499
8 Pt 0.6660 0.1841 0.8501
9 Pt 0.8159 0.6660 0.4819

Computed properties:
Total moment: 0.0 μB/cell

***

Record 6
The following is a DFT calculation (PBE-GGA) of crystalline CsGe3Pt5 at its relaxed geometry.

Cell: 6.9902 6.9902 13.2559 Å, 90.00 90.00 146.54°
Atoms (fractional coordinates):
1 Cs 0.1666 0.8334 0.7500
2 Cs 0.8334 0.1666 0.2500
3 Ge 0.1015 0.8985 0.2500
4 Ge 0.3811 0.6189 0.0393
5 Ge 0.3811 0.6189 0.4607
6 Ge 0.6189 0.3811 0.5393
7 Ge 0.6189 0.3811 0.9607
8 Ge 0.8985 0.1015 0.7500
9 Pt 0.0000 0.0000 0.0000
10 Pt 0.0000 0.0000 0.5000
11 Pt 0.1992 0.8008 0.0633
12 Pt 0.1992 0.8008 0.4367
13 Pt 0.4449 0.5551 0.6420
14 Pt 0.4449 0.5551 0.8580
15 Pt 0.5551 0.4449 0.1420
16 Pt 0.5551 0.4449 0.3580
17 Pt 0.8008 0.1992 0.5633
18 Pt 0.8008 0.1992 0.9367

Computed properties:
Total moment: 0.0 μB/cell

***

Asked for E_form across the records above, the calculation gives 305; -241; 30; 326; -460; -404 meV/atom in order.